# BaTa2Mo, relaxed, DFT PBE
data_BaTa2Mo
_chemical_formula_sum 'Ba1 Ta2 Mo1'
_cell_length_a 3.369
_cell_length_b 3.369
_cell_length_c 8.386
_cell_angle_alpha 90.00
_cell_angle_beta 90.00
_cell_angle_gamma 90.00
_symmetry_space_group_name_H-M 'P 4 m m'
_symmetry_Int_Tables_number 99
loop_
_symmetry_equiv_pos_as_xyz
'x,y,z'
'-y,x,z'
'-x,-y,z'
'y,-x,z'
'-x,y,z'
'y,x,z'
'x,-y,z'
'-y,-x,z'
loop_
_atom_site_label
_atom_site_type_symbol
_atom_site_fract_x
_atom_site_fract_y
_atom_site_fract_z
Ba1 Ba 0.000 0.000 0.000
Ta1 Ta 0.000 0.000 0.475
Ta2 Ta 0.500 0.500 0.655
Mo1 Mo 0.500 0.500 0.318
# Formation energy, eV per atom: 0.625
# Magnetic moment, Bohr magnetons per cell: 0.00
# Energy above the most stable polymorph in this dataset, meV per atom: 89